KYRu3 SCAN PBEsol geometry; formation energy from the elements = 9.15 eV per formula unit; energy = -26.2997 eV/atom; total magnetization = 4.701 μB per formula unit
1.0
-0.831 4.756 1.009
-3.385 0.169 -3.584
-3.491 -1.296 3.235
K Y Ru
1 1 3
Direct
0.500 0.500 0.500
0.000 0.000 0.000
0.500 0.000 0.000
0.000 0.000 0.500
0.000 0.500 0.000


LaZnIr SCAN PBEsol geometry; formation energy from the elements = -1.99 eV per formula unit; energy = -43.2355 eV/atom; total magnetization = 0.000 μB per formula unit
1.0
-0.265 3.920 0.085
-2.689 -0.109 -3.380
-1.574 -0.193 4.019
Ir La Zn
1 1 1
Direct
0.500 0.000 0.000
0.000 0.333 0.667
0.500 0.667 0.333


AlIn3Se SCAN PBEsol geometry; energy = -24.9801 eV/atom; ΔE_f (raw) = 0.618 eV per atom; total magnetization = 0.000 μB per formula unit
1.0
-5.003 -0.276 1.863
-0.973 -4.149 -3.226
1.613 -3.359 3.833
In Al Se
3 1 1
Direct
0.000 0.000 0.500
0.000 0.500 0.000
0.500 0.000 0.000
0.500 0.500 0.500
0.000 0.000 0.000


ZrAl2SbC SCAN PBEsol geometry; energy = -18.3729 eV/atom; ΔE_f (raw) = 0.340 eV per atom; total magnetization = 0.001 μB per formula unit
1.0
-2.726 1.887 -2.268
0.826 -2.475 -3.053
-3.752 -3.363 1.711
Al Sb Zr C
2 1 1 1
Direct
0.000 0.500 0.000
0.500 0.000 0.000
0.000 0.000 0.500
0.500 0.500 0.500
0.000 0.000 0.000


LiTl SCAN PBEsol geometry; formation energy from the elements = -0.63 eV per formula unit; energy = -37.6894 eV/atom; total magnetization = 0.000 μB per formula unit
1.0
3.403 0.000 0.000
0.000 3.403 0.000
0.000 0.000 3.403
Tl Li
1 1
Direct
0.500 0.500 0.500
0.000 0.000 0.000


BaSrNdCu3O7 SCAN PBEsol geometry; energy = -17.0175 eV/atom; ΔE_f (raw) = -2.046 eV per atom; total magnetization = 0.000 μB per formula unit
1.0
-1.502 2.196 2.692
0.491 -2.840 2.592
10.447 4.084 2.495
O Ba Cu Sr Nd
7 1 3 1 1
Direct
0.000 0.000 0.158
0.500 0.000 0.373
0.000 0.500 0.371
0.000 0.000 0.836
0.000 0.500 0.638
0.500 0.000 0.635
0.000 0.500 0.986
0.500 0.500 0.178
0.000 0.000 0.658
0.000 0.000 0.997
0.000 0.000 0.348
0.500 0.500 0.819
0.500 0.500 0.503


Cr2RhPb SCAN PBEsol geometry; formation energy from the elements = 2.13 eV per formula unit; energy = -36.0484 eV/atom; total magnetization = 0.001 μB per formula unit
1.0
3.744 0.000 0.000
0.000 3.745 0.000
-1.872 -1.873 4.149
Rh Pb Cr
1 1 2
Direct
0.000 0.500 0.000
0.500 0.000 0.000
0.250 0.250 0.500
0.750 0.750 0.500


GeRuN3 SCAN PBEsol geometry; energy = -14.7112 eV/atom; ΔE_f (raw) = 1.646 eV per atom; total magnetization = 0.937 μB per formula unit
1.0
-2.955 1.410 1.737
-1.075 -3.419 0.947
1.962 0.251 3.135
N Ru Ge
3 1 1
Direct
0.000 0.500 0.000
0.000 0.000 0.500
0.500 0.000 0.000
0.500 0.500 0.500
0.000 0.000 0.000


AlGe3Bi SCAN PBEsol geometry; formation energy from the elements = 2.68 eV per formula unit; energy = -28.1825 eV/atom; total magnetization = 0.000 μB per formula unit
1.0
-4.552 0.691 -1.642
-1.739 -2.702 3.684
-0.387 4.015 2.762
Ge Bi Al
3 1 1
Direct
0.000 0.000 0.500
0.500 0.000 0.000
0.000 0.500 0.000
0.500 0.500 0.500
0.000 0.000 0.000


KBeAs SCAN PBEsol geometry; formation energy from the elements = -1.61 eV per formula unit; energy = -11.4932 eV/atom; total magnetization = 0.000 μB per formula unit
1.0
3.815 0.000 0.000
0.000 6.127 0.000
0.000 0.000 12.280
Be K As
4 4 4
Direct
0.250 0.436 0.035
0.250 0.936 0.465
0.750 0.564 0.965
0.750 0.064 0.535
0.750 0.599 0.658
0.250 0.901 0.158
0.250 0.401 0.342
0.750 0.099 0.842
0.250 0.151 0.614
0.250 0.651 0.886
0.750 0.849 0.386
0.750 0.349 0.114


GaReSe3 SCAN PBEsol geometry; energy above the lowest structure with this stoichiometry = 0.851 eV per atom; energy = -28.2337 eV/atom; ΔE_f (raw) = 1.302 eV per atom; total magnetization = 3.707 μB per formula unit
1.0
4.798 0.000 0.000
0.000 4.798 0.000
0.000 0.000 4.798
Se Ga Re
3 1 1
Direct
0.000 0.500 0.000
0.000 0.000 0.500
0.500 0.000 0.000
0.000 0.000 0.000
0.500 0.500 0.500


CoIr2Rh SCAN PBEsol geometry; formation energy from the elements = -0.02 eV per formula unit; energy above the lowest structure with this stoichiometry = 0.025 eV per atom; energy = -48.3225 eV/atom; total magnetization = 1.913 μB per formula unit
1.0
2.665 0.000 0.000
1.332 2.308 0.000
1.332 0.769 8.527
Rh Co Ir
1 1 2
Direct
0.500 0.500 0.500
0.000 0.000 0.000
0.254 0.254 0.239
0.746 0.746 0.761


BeTcMo2 SCAN PBEsol geometry; formation energy from the elements = 0.75 eV per formula unit; energy = -27.1081 eV/atom; total magnetization = 0.000 μB per formula unit
1.0
-2.618 0.370 -0.488
0.829 -0.219 -4.616
-0.944 -4.199 1.877
Mo Be Tc
2 1 1
Direct
0.000 0.000 0.500
0.000 0.500 0.000
0.500 0.500 0.500
0.500 0.000 0.000


BaWAu SCAN PBEsol geometry; formation energy from the elements = 3.80 eV per formula unit; energy above the lowest structure with this stoichiometry = 0.000 eV per atom; energy = -58.1981 eV/atom; total magnetization = 4.512 μB per formula unit
1.0
-3.445 -3.250 -1.641
0.902 -2.756 -4.089
0.801 -4.930 0.427
W Au Ba
1 1 1
Direct
0.500 0.500 0.500
0.750 0.750 0.750
0.000 0.000 0.000


Hg2BCl SCAN PBEsol geometry; energy = -36.9172 eV/atom; ΔE_f (raw) = 1.018 eV per atom; total magnetization = 0.000 μB per formula unit
1.0
-3.190 2.974 2.099
-4.603 -1.391 0.557
-1.706 -1.008 4.416
Hg Cl B
2 1 1
Direct
0.250 0.250 0.250
0.750 0.750 0.750
0.500 0.500 0.500
0.000 0.000 0.000


Li2CaMg2 SCAN PBEsol geometry; formation energy from the elements = 0.05 eV per formula unit; energy = -4.8682 eV/atom; total magnetization = 0.145 μB per formula unit
1.0
3.372 0.000 0.000
0.000 8.502 0.000
0.000 0.000 8.502
Ca Li Mg
2 4 4
Direct
0.000 0.000 0.000
0.000 0.500 0.500
0.500 0.166 0.666
0.500 0.834 0.334
0.500 0.334 0.166
0.500 0.666 0.834
0.000 0.872 0.628
0.000 0.628 0.128
0.000 0.128 0.372
0.000 0.372 0.872


TlSiHg2 SCAN PBEsol geometry; energy = -54.2156 eV/atom; ΔE_f (raw) = 0.461 eV per atom; total magnetization = 0.000 μB per formula unit
1.0
-3.405 0.652 -0.677
-1.072 -4.895 0.675
-0.814 0.856 4.917
Hg Tl Si
2 1 1
Direct
0.000 0.500 0.000
0.000 0.000 0.500
0.500 0.000 0.000
0.500 0.500 0.500


LiAl2 SCAN PBEsol geometry; formation energy from the elements = -0.15 eV per formula unit; energy above the lowest structure with this stoichiometry = 0.040 eV per atom; energy = -6.0161 eV/atom; total magnetization = 0.000 μB per formula unit
1.0
-0.347 0.657 -5.407
-3.876 -2.766 2.667
-4.306 7.135 1.143
Al Li
8 4
Direct
0.655 0.827 0.750
0.345 0.173 0.250
0.000 0.000 0.500
0.827 0.655 0.250
0.827 0.173 0.250
0.173 0.345 0.750
0.173 0.827 0.750
0.000 0.000 0.000
0.333 0.667 0.070
0.333 0.667 0.430
0.667 0.333 0.570
0.667 0.333 0.930


Tc3IBr SCAN PBEsol geometry; energy above the lowest structure with this stoichiometry = 0.000 eV per atom; energy = -30.2596 eV/atom; ΔE_f (raw) = 2.017 eV per atom; total magnetization = 3.815 μB per formula unit
1.0
-2.345 -0.849 3.841
3.668 -2.088 1.778
1.422 3.986 1.750
Tc Br I
3 1 1
Direct
0.000 0.500 0.000
0.500 0.000 0.000
0.000 0.000 0.500
0.000 0.000 0.000
0.500 0.500 0.500


Li2Mn2P4H3O16 SCAN PBEsol geometry; energy = -9.3222 eV/atom; total magnetization = 7.000 μB per formula unit
1.0
4.781 -0.023 0.026
-1.846 7.056 -0.111
0.022 -0.431 8.096
O H Mn Li P
16 3 2 2 4
Direct
0.561 0.829 0.696
0.132 0.855 0.445
0.645 0.852 0.334
0.486 0.239 0.314
0.002 0.303 0.831
0.241 0.054 0.063
0.610 0.352 0.025
0.135 0.373 0.156
0.871 0.166 0.542
0.263 0.469 0.594
0.739 0.939 0.980
0.731 0.549 0.434
0.348 0.152 0.671
0.842 0.635 0.839
0.356 0.652 0.957
0.966 0.688 0.170
0.461 0.508 0.536
0.967 0.988 0.017
0.624 0.378 0.364
0.503 0.995 0.509
0.986 0.502 0.995
0.391 0.851 0.146
0.594 0.134 0.861
0.123 0.271 0.655
0.361 0.257 0.140
0.869 0.732 0.350
0.623 0.757 0.858


Cr2GeI SCAN PBEsol geometry; energy = -22.3363 eV/atom; ΔE_f (raw) = 0.813 eV per atom; total magnetization = 2.799 μB per formula unit
1.0
-0.900 3.923 -1.692
-2.689 2.721 2.105
1.581 3.606 1.887
Cr Ge I
2 1 1
Direct
0.250 0.250 0.250
0.750 0.750 0.750
0.000 0.000 0.000
0.500 0.500 0.500


MgTlIn2 SCAN PBEsol geometry; formation energy from the elements = -0.07 eV per formula unit; energy = -36.0446 eV/atom; total magnetization = 0.000 μB per formula unit
1.0
-1.993 -2.572 0.901
3.618 -1.500 3.718
-2.249 4.805 2.415
Tl In Mg
1 2 1
Direct
0.756 0.263 0.512
0.997 0.988 0.994
0.243 0.755 0.487
0.504 0.494 0.007


NaTlBi2 SCAN PBEsol geometry; formation energy from the elements = -0.29 eV per formula unit; energy above the lowest structure with this stoichiometry = 0.000 eV per atom; energy = -58.5048 eV/atom; total magnetization = 0.000 μB per formula unit
1.0
6.487 0.000 0.000
3.244 6.202 0.000
3.244 0.000 6.202
Tl Bi Na
2 4 2
Direct
0.750 0.500 0.500
0.000 0.000 0.000
0.375 0.532 0.968
0.657 0.968 0.468
0.875 0.468 0.032
0.093 0.032 0.532
0.500 0.000 0.000
0.250 0.500 0.500


TlSbTe2Pt SCAN PBEsol geometry; energy = -49.3724 eV/atom; ΔE_f (raw) = 1.490 eV per atom; total magnetization = 0.003 μB per formula unit
1.0
5.497 0.000 0.000
0.000 5.507 0.000
0.000 0.000 5.507
Pt Te Sb Tl
1 2 1 1
Direct
0.500 0.500 0.500
0.000 0.500 0.000
0.000 0.000 0.500
0.500 0.000 0.000
0.000 0.000 0.000


GaRu3O SCAN PBEsol geometry; energy = -25.2597 eV/atom; ΔE_f (raw) = 0.152 eV per atom; total magnetization = 0.000 μB per formula unit
1.0
-0.167 3.815 1.150
-2.442 -1.007 2.988
3.149 -0.579 2.378
Ru O Ga
3 1 1
Direct
0.000 0.500 0.000
0.000 0.000 0.500
0.500 0.000 0.000
0.000 0.000 0.000
0.500 0.500 0.500


KCr5 SCAN PBEsol geometry; formation energy from the elements = 4.53 eV per formula unit; energy = -15.9536 eV/atom; total magnetization = 0.509 μB per formula unit
1.0
-0.550 2.621 0.982
-2.324 -1.514 2.738
7.556 -1.964 5.328
Cr K
5 1
Direct
0.933 0.000 0.865
0.812 0.500 0.623
0.740 0.000 0.480
0.328 0.000 0.656
0.424 0.500 0.848
0.097 0.500 0.194


MgBr SCAN PBEsol geometry; energy = -13.1572 eV/atom; ΔE_f (raw) = -0.941 eV per atom; total magnetization = 0.000 μB per formula unit
1.0
3.720 0.000 0.000
1.860 5.888 -0.281
1.860 0.082 7.146
Mg Br
3 3
Direct
0.988 0.598 0.426
0.285 0.997 0.434
0.013 0.892 0.082
0.696 0.768 0.839
0.296 0.274 0.134
0.555 0.304 0.586